A geometry-optimized AlH2Pb3OF9 structure, computed with GGA-PBEsol.

Results
**Final energy**: -168.39 eV for the cell shown
**Calculated volume**: 204.54 Å³/f.u.
**Calculated density**: 6.8 Mg/m³

Unit cell a=5.632 b=5.869 c=12.579 alpha=99.34 beta=94.17 gamma=90.57
Space group P-1 (No. 2)
Asymmetric unit:
Al (0.193, 0.377, 0.192) x2
H (0.168, 0.748, 0.982) x2
H (0.406, 0.663, 0.925) x2
Pb (0.245, 0.940, 0.380) x2
Pb (0.271, 0.511, 0.615) x2
Pb (0.319, 0.123, 0.868) x2
O (0.342, 0.786, 0.980) x2
F (0.003, 0.249, 0.496) x2
F (0.032, 0.641, 0.192) x2
F (0.065, 0.775, 0.770) x2
F (0.117, 0.276, 0.050) x2
F (0.271, 0.484, 0.336) x2
F (0.346, 0.136, 0.674) x2
F (0.363, 0.118, 0.207) x2
F (0.470, 0.508, 0.161) x2
F (0.497, 0.760, 0.512) x2

***

A geometry-optimized AlHPb2F structure, computed with GGA-PBEsol.

Results
**Final energy**: -18.47 eV for the cell shown
**Calculated volume**: 96.88 Å³/f.u.
**Calculated density**: 7.9 Mg/m³

Unit cell a=5.464 b=5.464 c=3.245 alpha=90.00 beta=90.00 gamma=90.00
Space group P4/mmm (No. 123)
Asymmetric unit:
Al (0.000, 0.000, 0.000) x1
H (0.000, 0.000, 0.500) x1
Pb (0.000, 0.500, 0.000) x2
F (0.500, 0.500, 0.500) x1